Run P
Density functional theory data (GGA-PBE) for crystalline Zr4CdRe at its relaxed geometry.

Results
D(E_F) = 1.31 states/eV per atom

Unit cell a=4.8103 b=4.8103 c=7.8375 alpha=107.83 beta=107.83 gamma=59.79
Fractional coordinates of all 6 atoms:
Zr 0.1178 0.1178 0.3515
Zr 0.3648 0.3648 0.0941
Zr 0.6352 0.6352 0.9059
Zr 0.8822 0.8822 0.6485
Cd 0.5000 0.5000 0.5000
Re 0.0000 0.0000 0.0000

Run Q
Density functional theory data (GGA-PBE) for crystalline Zr4CdRe at its relaxed geometry.

Results
D(E_F) = 1.10 states/eV per atom

Unit cell a=5.6316 b=5.6316 c=5.6316 alpha=60.00 beta=60.00 gamma=60.00
Fractional coordinates of all 6 atoms:
Zr 0.3773 0.3773 0.3773
Zr 0.3773 0.3773 0.8682
Zr 0.3773 0.8682 0.3773
Zr 0.8682 0.3773 0.3773
Cd 0.0000 0.0000 0.0000
Re 0.7500 0.7500 0.7500

run P has the most favorable energy; the next structure is 0.286 eV/atom above.

Run P
Density functional theory data (GGA-PBE) for crystalline Zr3CdRe at its relaxed geometry.

Results
D(E_F) = 1.41 states/eV per atom

Unit cell a=5.0907 b=5.0907 c=5.0907 alpha=90.00 beta=90.00 gamma=90.00
Fractional coordinates of all 5 atoms:
Zr 0.0000 0.0000 0.5000
Zr 0.0000 0.5000 0.0000
Zr 0.5000 0.0000 0.0000
Cd 0.5000 0.5000 0.5000
Re 0.0000 0.0000 0.0000

Run Q
Density functional theory data (GGA-PBE) for crystalline Zr3CdRe at its relaxed geometry.

Results
D(E_F) = 1.56 states/eV per atom

Unit cell a=5.0846 b=5.0846 c=5.0846 alpha=90.00 beta=90.00 gamma=90.00
Fractional coordinates of all 5 atoms:
Zr 0.0000 0.0000 0.5000
Zr 0.0000 0.5000 0.0000
Zr 0.5000 0.0000 0.0000
Cd 0.0000 0.0000 0.0000
Re 0.5000 0.5000 0.5000

run P has the most favorable energy; the next structure is 1.291 eV/atom above.